(1)
Below is a PBEsol-optimized structure of KYSi, with properties calculated at the meta-GGA SCAN level.

## Properties
The space group is P3m1, No. 156. The calculation puts the density at 2.387 g/cm³. The calculation puts the formation energy (no corrections) at 0.08 eV per atom.

Cell and atoms, written as POSCAR:
```
KYSi
1.0
4.667 0.000 0.000
-2.333 4.041 0.000
0.000 0.000 5.758
K Y Si
1 1 1
direct
0.000 0.000 0.000
0.667 0.333 0.488
0.333 0.667 0.366
```

=====

(2)
Below is a PBEsol-optimized structure of KYSi, with properties calculated at the meta-GGA SCAN level.

## Properties
The space group is F-43m, No. 216. The calculation puts the density at 2.784 g/cm³. The calculation puts the formation energy (no corrections) at 0.05 eV per atom.

Cell and atoms, written as POSCAR:
```
KYSi
1.0
0.000 3.597 3.597
3.597 0.000 3.597
3.597 3.597 0.000
K Y Si
1 1 1
direct
0.000 0.000 0.000
0.500 0.500 0.500
0.250 0.250 0.250
```

=====

(3)
Below is a PBEsol-optimized structure of KZnSi2, with properties calculated at the meta-GGA SCAN level.

## Properties
The space group is Imm2, No. 44. The calculation puts the density at 2.703 g/cm³. The calculation puts the formation energy (no corrections) at 0.42 eV per atom.

Cell and atoms, written as POSCAR:
```
KZnSi2
1.0
-1.866 3.074 4.303
1.866 -3.074 4.303
1.866 3.074 -4.303
K Zn Si
1 1 2
direct
0.000 0.000 0.000
0.676 0.176 0.500
0.321 0.821 0.500
0.483 0.483 0.000
```

=====

(4)
Below is a PBEsol-optimized structure of K4ZnSi, with properties calculated at the meta-GGA SCAN level.

## Properties
The space group is F-43m, No. 216. The calculation puts the density at 1.905 g/cm³. The calculation puts the formation energy (no corrections) at 0.65 eV per atom.

Cell and atoms, written as POSCAR:
```
K4ZnSi
1.0
0.000 4.775 4.775
4.775 0.000 4.775
4.775 4.775 0.000
K Zn Si
4 1 1
direct
0.376 0.376 0.376
0.376 0.376 0.873
0.376 0.873 0.376
0.873 0.376 0.376
0.000 0.000 0.000
0.750 0.750 0.750
```

=====

(5)
Below is a PBEsol-optimized structure of KZnSi2, with properties calculated at the meta-GGA SCAN level.

## Properties
The space group is Cmmm, No. 65. The calculation puts the density at 3.542 g/cm³. The calculation puts the formation energy (no corrections) at 0.64 eV per atom.

Cell and atoms, written as POSCAR:
```
KZnSi2
1.0
2.897 -4.985 0.000
2.897 4.985 0.000
0.000 0.000 2.608
K Zn Si
1 1 2
direct
0.000 0.000 0.000
0.500 0.500 0.000
0.000 0.500 0.500
0.500 0.000 0.500
```

=====

(6)
Below is a PBEsol-optimized structure of KZnSi3, with properties calculated at the meta-GGA SCAN level.

## Properties
The space group is Pm-3m, No. 221. The calculation puts the density at 2.806 g/cm³. The calculation puts the formation energy (no corrections) at 0.84 eV per atom.

Cell and atoms, written as POSCAR:
```
KZnSi3
1.0
4.816 0.000 0.000
0.000 4.816 0.000
0.000 0.000 4.816
K Zn Si
1 1 3
direct
0.000 0.000 0.000
0.500 0.500 0.500
0.000 0.500 0.500
0.500 0.000 0.500
0.500 0.500 0.000
```

=====

(7)
Below is a PBEsol-optimized structure of KZn2Si2, with properties calculated at the meta-GGA SCAN level.

## Properties
The space group is I4/mmm, No. 139. The calculation puts the density at 4.001 g/cm³. The calculation puts the formation energy (no corrections) at 0.00 eV per atom.

Cell and atoms, written as POSCAR:
```
KZn2Si2
1.0
-2.132 2.132 5.161
2.132 -2.132 5.161
2.132 2.132 -5.161
K Zn Si
1 2 2
direct
0.000 0.000 0.000
0.250 0.750 0.500
0.750 0.250 0.500
0.384 0.384 0.000
0.616 0.616 0.000
```

=====

(8)
Below is a PBEsol-optimized structure of KZrSi2, with properties calculated at the meta-GGA SCAN level.

## Properties
The space group is P4/mmm, No. 123. The calculation puts the density at 3.870 g/cm³. The calculation puts the formation energy (no corrections) at -0.05 eV per atom.

Cell and atoms, written as POSCAR:
```
KZrSi2
1.0
2.925 0.000 0.000
0.000 2.925 0.000
0.000 0.000 9.353
K Zr Si
1 1 2
direct
0.000 0.000 0.000
0.000 0.000 0.500
0.500 0.500 0.283
0.500 0.500 0.717
```

=====

(9)
Below is a PBEsol-optimized structure of KZr2Si, with properties calculated at the meta-GGA SCAN level.

## Properties
The space group is P4mm, No. 99. The calculation puts the density at 3.902 g/cm³. The calculation puts the formation energy (no corrections) at 0.06 eV per atom.

Cell and atoms, written as POSCAR:
```
KZr2Si
1.0
3.553 0.000 0.000
0.000 3.553 0.000
0.000 0.000 8.415
K Zr Si
1 2 1
direct
0.000 0.000 0.000
0.000 0.000 0.405
0.500 0.500 0.609
0.500 0.500 0.287
```

=====

(10)
Below is a PBEsol-optimized structure of KZr2Si, with properties calculated at the meta-GGA SCAN level.

## Properties
The space group is C2/m, No. 12. The calculation puts the density at 4.785 g/cm³. The calculation puts the formation energy (no corrections) at 0.59 eV per atom.

Cell and atoms, written as POSCAR:
```
KZr2Si
1.0
3.174 -5.047 0.000
3.174 5.047 0.000
-1.348 0.000 2.704
K Zr Si
1 2 1
direct
0.000 0.000 0.000
0.000 0.500 0.500
0.500 0.000 0.500
0.500 0.500 0.000
```

=====

(11)
Below is a PBEsol-optimized structure of KZr2Si, with properties calculated at the meta-GGA SCAN level.

## Properties
The space group is I-4m2, No. 119. The calculation puts the density at 4.908 g/cm³. The calculation puts the formation energy (no corrections) at 0.61 eV per atom.

Cell and atoms, written as POSCAR:
```
KZr2Si
1.0
-2.132 2.132 4.643
2.132 -2.132 4.643
2.132 2.132 -4.643
K Zr Si
1 2 1
direct
0.000 0.000 0.000
0.250 0.750 0.500
0.500 0.500 0.000
0.750 0.250 0.500
```

=====

(12)
Below is a PBEsol-optimized structure of KSrSnTe2, with properties calculated at the meta-GGA SCAN level.

## Properties
The space group is P4/mmm, No. 123. The calculation puts the density at 4.355 g/cm³. The calculation puts the formation energy (no corrections) at 0.25 eV per atom.

Cell and atoms, written as POSCAR:
```
KSrSnTe2
1.0
5.906 0.000 0.000
0.000 5.906 0.000
0.000 0.000 5.472
K Sr Sn Te
1 1 1 2
direct
0.000 0.000 0.000
0.000 0.000 0.500
0.500 0.500 0.500
0.000 0.500 0.000
0.500 0.000 0.000
```

=====

(13)
Below is a PBEsol-optimized structure of K3SnTe3, with properties calculated at the meta-GGA SCAN level.

## Properties
The space group is P2_1/c, No. 14. The calculation puts the density at 3.756 g/cm³. The calculation puts the formation energy (no corrections) at -0.94 eV per atom.

Cell and atoms, written as POSCAR:
```
K3SnTe3
1.0
9.472 0.000 0.000
0.000 13.519 0.000
-4.239 0.000 8.546
K Sn Te
12 4 12
direct
0.001 0.155 0.009
0.001 0.345 0.509
0.220 0.563 0.198
0.220 0.937 0.698
0.447 0.222 0.788
0.447 0.278 0.288
0.553 0.722 0.712
0.553 0.778 0.212
0.780 0.063 0.302
0.780 0.437 0.802
0.999 0.655 0.491
0.999 0.845 0.991
0.347 0.509 0.874
0.347 0.991 0.374
0.653 0.009 0.626
0.653 0.491 0.126
0.168 0.137 0.418
0.168 0.363 0.918
0.238 0.697 0.880
0.238 0.803 0.380
0.364 0.023 0.098
0.364 0.477 0.598
0.636 0.523 0.402
0.636 0.977 0.902
0.762 0.197 0.620
0.762 0.303 0.120
0.832 0.637 0.082
0.832 0.863 0.582
```

=====

(14)
Below is a PBEsol-optimized structure of K2SnTe3, with properties calculated at the meta-GGA SCAN level.

## Properties
The space group is Cmce, No. 64. The calculation puts the density at 4.596 g/cm³. The calculation puts the formation energy (no corrections) at -0.77 eV per atom.

Cell and atoms, written as POSCAR:
```
K2SnTe3
1.0
11.463 -4.266 0.000
11.463 4.266 0.000
0.000 0.000 8.567
K Sn Te
8 4 12
direct
0.078 0.078 0.000
0.235 0.235 0.000
0.265 0.265 0.500
0.422 0.422 0.500
0.578 0.578 0.500
0.735 0.735 0.500
0.765 0.765 0.000
0.922 0.922 0.000
0.085 0.085 0.500
0.415 0.415 0.000
0.585 0.585 0.000
0.915 0.915 0.500
0.041 0.659 0.309
0.159 0.541 0.809
0.172 0.828 0.672
0.328 0.672 0.172
0.341 0.959 0.309
0.459 0.841 0.809
0.541 0.159 0.191
0.659 0.041 0.691
0.672 0.328 0.828
0.828 0.172 0.328
0.841 0.459 0.191
0.959 0.341 0.691
```

=====

(15)
Below is a PBEsol-optimized structure of K3TlSn, with properties calculated at the meta-GGA SCAN level.

## Properties
The space group is Pm-3m, No. 221. The calculation puts the density at 2.522 g/cm³. The formation enthalpy at 0 K is 0.189 eV/atom.

Cell and atoms, written as POSCAR:
```
K3TlSn
1.0
6.619 0.000 0.000
0.000 6.619 0.000
0.000 0.000 6.619
K Tl Sn
3 1 1
direct
0.000 0.000 0.500
0.000 0.500 0.000
0.500 0.000 0.000
0.500 0.500 0.500
0.000 0.000 0.000
```

=====

(16)
Below is a PBEsol-optimized structure of KTlSn2, with properties calculated at the meta-GGA SCAN level.

## Properties
The space group is Fm-3m, No. 225. The calculation puts the density at 6.893 g/cm³. The formation enthalpy at 0 K is 0.067 eV/atom.

Cell and atoms, written as POSCAR:
```
KTlSn2
1.0
0.000 3.869 3.869
3.869 0.000 3.869
3.869 3.869 0.000
K Tl Sn
1 1 2
direct
0.000 0.000 0.000
0.500 0.500 0.500
0.250 0.250 0.250
0.750 0.750 0.750
```

=====

(17)
Below is a PBEsol-optimized structure of KTl2Sn, with properties calculated at the meta-GGA SCAN level.

## Properties
The space group is Fm-3m, No. 225. The calculation puts the density at 8.130 g/cm³. The formation enthalpy at 0 K is -0.161 eV/atom.

Cell and atoms, written as POSCAR:
```
KTl2Sn
1.0
0.000 3.868 3.868
3.868 0.000 3.868
3.868 3.868 0.000
K Tl Sn
1 2 1
direct
0.000 0.000 0.000
0.250 0.250 0.250
0.750 0.750 0.750
0.500 0.500 0.500
```

=====

(18)
Below is a PBEsol-optimized structure of KTl2SnW, with properties calculated at the meta-GGA SCAN level.

## Properties
The space group is P4/mmm, No. 123. The calculation puts the density at 8.229 g/cm³. The formation enthalpy at 0 K is 0.222 eV/atom.

Cell and atoms, written as POSCAR:
```
KTl2SnW
1.0
5.383 0.000 0.000
0.000 5.383 0.000
0.000 0.000 5.225
K Tl Sn W
1 2 1 1
direct
0.000 0.000 0.000
0.000 0.500 0.500
0.500 0.000 0.500
0.500 0.500 0.000
0.500 0.500 0.500
```

=====

(19)
Below is a PBEsol-optimized structure of KZn2Sn2, with properties calculated at the meta-GGA SCAN level.

## Properties
The space group is I4/mmm, No. 139. The calculation puts the density at 5.521 g/cm³. The formation enthalpy at 0 K is -0.172 eV/atom.

Cell and atoms, written as POSCAR:
```
KZn2Sn2
1.0
-2.289 2.289 5.844
2.289 -2.289 5.844
2.289 2.289 -5.844
K Zn Sn
1 2 2
direct
0.000 0.000 0.000
0.250 0.750 0.500
0.750 0.250 0.500
0.377 0.377 0.000
0.623 0.623 0.000
```

=====

(20)
Below is a PBEsol-optimized structure of KZr3Sn, with properties calculated at the meta-GGA SCAN level.

## Properties
The space group is Pm-3m, No. 221. The calculation puts the density at 6.531 g/cm³. The formation enthalpy at 0 K is 1.658 eV/atom.

Cell and atoms, written as POSCAR:
```
KZr3Sn
1.0
4.787 0.000 0.000
0.000 4.787 0.000
0.000 0.000 4.787
K Zr Sn
1 3 1
direct
0.000 0.000 0.000
0.000 0.000 0.500
0.000 0.500 0.000
0.500 0.000 0.000
0.500 0.500 0.500
```

=====

(21)
Below is a PBEsol-optimized structure of KZr3Sn, with properties calculated at the meta-GGA SCAN level.

## Properties
The space group is Pm-3m, No. 221. The calculation puts the density at 4.474 g/cm³. The formation enthalpy at 0 K is 0.959 eV/atom.

Cell and atoms, written as POSCAR:
```
KZr3Sn
1.0
5.430 0.000 0.000
0.000 5.430 0.000
0.000 0.000 5.430
K Zr Sn
1 3 1
direct
0.000 0.000 0.000
0.000 0.500 0.500
0.500 0.000 0.500
0.500 0.500 0.000
0.500 0.500 0.500
```

=====

(22)
Below is a PBEsol-optimized structure of K5Sr, with properties calculated at the meta-GGA SCAN level.

## Properties
The space group is Cm, No. 8. The calculation puts the density at 1.185 g/cm³. The formation enthalpy at 0 K is 0.058 eV/atom.

Cell and atoms, written as POSCAR:
```
K5Sr
1.0
8.468 -2.207 0.000
8.468 2.207 0.000
-2.750 0.000 10.609
K Sr
5 1
direct
0.000 0.000 0.000
0.061 0.061 0.612
0.336 0.336 0.657
0.668 0.668 0.325
0.732 0.732 0.955
0.395 0.395 0.283
```

=====

(23)
Below is a PBEsol-optimized structure of K4Sr, with properties calculated at the meta-GGA SCAN level.

## Properties
The space group is I4/m, No. 87. The calculation puts the density at 1.231 g/cm³. The formation enthalpy at 0 K is 0.090 eV/atom.

Cell and atoms, written as POSCAR:
```
K4Sr
1.0
-5.108 5.108 3.154
5.108 -5.108 3.154
5.108 5.108 -3.154
K Sr
4 1
direct
0.100 0.702 0.802
0.298 0.100 0.398
0.702 0.900 0.602
0.900 0.298 0.198
0.500 0.500 0.000
```

=====

(24)
Below is a PBEsol-optimized structure of K5Sr, with properties calculated at the meta-GGA SCAN level.

## Properties
The space group is Cmmm, No. 65. The calculation puts the density at 1.180 g/cm³. The formation enthalpy at 0 K is 0.075 eV/atom.

Cell and atoms, written as POSCAR:
```
K5Sr
1.0
3.197 -9.794 0.000
3.197 9.794 0.000
0.000 0.000 6.365
K Sr
5 1
direct
0.000 0.000 0.000
0.165 0.835 0.500
0.336 0.664 0.000
0.664 0.336 0.000
0.835 0.165 0.500
0.500 0.500 0.500
```

=====

(25)
Below is a PBEsol-optimized structure of K4Sr5, with properties calculated at the meta-GGA SCAN level.

## Properties
The space group is I4/mmm, No. 139. The calculation puts the density at 1.905 g/cm³. The formation enthalpy at 0 K is 0.096 eV/atom.

Cell and atoms, written as POSCAR:
```
K4Sr5
1.0
-7.439 7.439 2.341
7.439 -7.439 2.341
7.439 7.439 -2.341
K Sr
4 5
direct
0.000 0.333 0.333
0.000 0.667 0.667
0.333 0.000 0.333
0.667 0.000 0.667
0.000 0.000 0.000
0.337 0.337 0.674
0.337 0.663 0.000
0.663 0.337 0.000
0.663 0.663 0.326
```

=====

(26)
Below is a PBEsol-optimized structure of K4Sr, with properties calculated at the meta-GGA SCAN level.

## Properties
The space group is Im-3m, No. 229. The calculation puts the density at 0.903 g/cm³. The formation enthalpy at 0 K is 0.303 eV/atom.

Cell and atoms, written as POSCAR:
```
K4Sr
1.0
-4.823 4.823 4.823
4.823 -4.823 4.823
4.823 4.823 -4.823
K Sr
4 1
direct
0.000 0.000 0.500
0.000 0.500 0.000
0.500 0.000 0.000
0.500 0.500 0.500
0.000 0.000 0.000
```

=====

(27)
Below is a PBEsol-optimized structure of K5Sr4, with properties calculated at the meta-GGA SCAN level.

## Properties
The space group is I4/mmm, No. 139. The calculation puts the density at 1.664 g/cm³. The formation enthalpy at 0 K is 0.088 eV/atom.

Cell and atoms, written as POSCAR:
```
K5Sr4
1.0
-7.682 7.682 2.308
7.682 -7.682 2.308
7.682 7.682 -2.308
K Sr
5 4
direct
0.000 0.000 0.000
0.330 0.330 0.661
0.330 0.670 0.000
0.670 0.330 0.000
0.670 0.670 0.339
0.000 0.344 0.344
0.000 0.656 0.656
0.344 0.000 0.344
0.656 0.000 0.656
```